(1)
# CaZn2MoSe

Crystalline CaZn2MoSe at its relaxed geometry (PBE-GGA, Alexandria via LeMat-Bulk).

Offset from the most stable computed form ... 0.99 eV per formula unit
Uncorrected formation energy ... 3.8 eV/f.u.
Magnetic moment ... 4.3 μB/cell
Electronic total energy ... -3.016 eV per atom
Mass density ... 4.35 g/cm³

```
CaZn2MoSe
1.0
-3.765 -2.788 -1.667
0.255 -2.985 4.415
-3.239 3.036 2.239
Mo Ca Zn Se
1 1 2 1
direct
0.500 0.500 0.500
0.000 0.500 0.000
0.000 0.000 0.500
0.500 0.000 0.000
0.000 0.000 0.000
```

(2)
# CaCu2Rh

Crystalline CaCu2Rh at its relaxed geometry (PBE-GGA, Alexandria via LeMat-Bulk).

Offset from the most stable computed form ... 0.56 eV per formula unit
Magnetic moment ... 0.0 μB/cell
Electronic total energy ... -4.395 eV per atom
Mass density ... 6.75 g/cm³
Energy relative to the elements ... -0.009 eV/atom

```
CaCu2Rh
1.0
3.229 -0.016 0.000
0.016 3.229 0.000
0.000 0.000 6.377
Ca Rh Cu
1 1 2
direct
0.500 0.500 0.740
0.000 0.000 0.458
0.000 0.000 0.062
0.500 0.500 0.239
```

(3)
# TaSi3O

Crystalline TaSi3O at its relaxed geometry (PBE-GGA, Alexandria via LeMat-Bulk).

Offset from the most stable computed form ... 5.45 eV per formula unit
Uncorrected formation energy ... 5.4 eV/f.u.
Magnetic moment ... 1.9 μB/cell
Electronic total energy ... -5.536 eV per atom
Mass density ... 3.99 g/cm³

```
TaSi3O
1.0
-0.900 0.333 -4.797
-4.354 -2.127 0.669
-2.040 4.392 0.687
Si O Ta
3 1 1
direct
0.000 0.500 0.000
0.000 0.000 0.500
0.500 0.000 0.000
0.500 0.500 0.500
0.000 0.000 0.000
```

> Among the records above, which one has the lowest mass density?

TaSi3O